1.
Compound: TmSiPd2
Source: Alexandria via LeMat-Bulk
Functional: PBE
Structure: optimized geometry

Summary:
**Total magnetic moment**: 0.000 μB/cell
**Energy relative to the elements, uncorrected**: -2.8 eV/f.u.

Lattice parameters (Å, degrees): 4.019 3.505 5.444 90.04 90.00 90.00
Element x y z (fractional)
1 Tm 0.500 0.500 0.000
2 Si 0.500 0.000 0.500
3 Pd 0.000 0.000 0.250
4 Pd 0.000 0.000 0.750

2.
Compound: ZrTcTe
Source: Alexandria via LeMat-Bulk
Functional: PBE
Structure: optimized geometry

Summary:
**Total magnetic moment**: 0.000 μB/cell
**E above lowest polymorph**: 0 kJ/mol of formula units
**Energy relative to the elements, uncorrected**: -0.8 eV/f.u.

Lattice parameters (Å, degrees): 4.508 4.508 4.508 60.00 60.00 60.00
Element x y z (fractional)
1 Tc 0.750 0.750 0.750
2 Te 0.000 0.000 0.000
3 Zr 0.500 0.500 0.500

3.
Compound: SnRuAu2Se
Source: Alexandria via LeMat-Bulk
Functional: PBE
Structure: optimized geometry

Summary:
**Total magnetic moment**: 3.198 μB/cell
**Energy relative to the elements, uncorrected**: 6.1 eV/f.u.

Lattice parameters (Å, degrees): 5.104 5.104 5.395 90.00 90.00 90.00
Each line ends with the local moment (μB).
Element x y z (fractional)
1 Ru 0.500 0.500 0.500  2.70
2 Au 0.000 0.500 0.000  0.05
3 Au 0.500 0.000 0.000  0.05
4 Sn 0.000 0.000 0.000  0.03
5 Se 0.000 0.000 0.500  0.07

4.
Compound: PuAu2O6
Source: Alexandria via LeMat-Bulk
Functional: PBE
Structure: optimized geometry

Summary:
**Total magnetic moment**: 4.000 μB/cell
**Energy relative to the elements, uncorrected**: -9.0 eV/f.u.

Lattice parameters (Å, degrees): 8.013 6.518 6.518 62.71 81.20 81.20
Each line ends with the local moment (μB).
Element x y z (fractional)
1 Pu 0.250 0.109 0.891  2.56
2 Pu 0.750 0.891 0.109  2.56
3 Au 0.247 0.604 0.898  0.01
4 Au 0.253 0.102 0.396  0.01
5 Au 0.753 0.396 0.102  0.01
6 Au 0.747 0.898 0.604  0.01
7 O 0.372 0.889 0.687  -0.01
8 O 0.128 0.313 0.111  -0.01
9 O 0.628 0.111 0.313  -0.01
10 O 0.872 0.687 0.889  -0.01
11 O 0.866 0.752 0.401  -0.13
12 O 0.634 0.599 0.248  -0.13
13 O 0.134 0.248 0.599  -0.13
14 O 0.366 0.401 0.752  -0.13
15 O 0.129 0.817 0.036  -0.12
16 O 0.371 0.964 0.183  -0.12
17 O 0.871 0.183 0.964  -0.12
18 O 0.629 0.036 0.817  -0.12

5.
Compound: Pm2Al3Hg
Source: Alexandria via LeMat-Bulk
Functional: PBE
Structure: optimized geometry

Summary:
**Formation enthalpy at 0 K**: -471.3 meV/atom
**Total magnetic moment**: 0.000 μB/cell
**E above lowest polymorph**: 6 kJ/mol of formula units

Lattice parameters (Å, degrees): 5.982 5.982 8.860 105.66 105.66 101.57
Element x y z (fractional)
1 Pm 0.250 0.750 0.500
2 Pm 0.748 0.748 0.000
3 Pm 0.750 0.250 0.500
4 Pm 0.252 0.252 0.000
5 Al 0.329 0.836 0.165
6 Al 0.164 0.671 0.835
7 Al 0.671 0.164 0.835
8 Al 0.836 0.329 0.165
9 Al 0.164 0.164 0.328
10 Al 0.836 0.836 0.672
11 Hg 0.667 0.667 0.334
12 Hg 0.333 0.333 0.666

6.
Compound: Sr2ScPt
Source: Alexandria via LeMat-Bulk
Functional: PBE
Structure: optimized geometry

Summary:
**Formation enthalpy at 0 K**: -51.6 meV/atom
**Total magnetic moment**: 0.001 μB/cell
**E above lowest polymorph**: 157 kJ/mol of formula units

Lattice parameters (Å, degrees): 5.089 5.089 4.380 90.00 90.00 89.91
Element x y z (fractional)
1 Pt 0.500 0.000 0.500
2 Sc 0.000 0.500 0.500
3 Sr 0.000 0.000 0.000
4 Sr 0.500 0.500 0.000

7.
Compound: Pm2Pr3Sn6
Source: Alexandria via LeMat-Bulk
Functional: PBE
Structure: optimized geometry

Summary:
**Formation enthalpy at 0 K**: -241.1 meV/atom
**Total magnetic moment**: 0.000 μB/cell

Lattice parameters (Å, degrees): 5.944 5.944 11.938 104.42 104.42 90.00
Element x y z (fractional)
1 Pm 0.425 0.425 0.850
2 Pm 0.575 0.575 0.150
3 Pr 0.000 0.000 0.000
4 Pr 0.849 0.849 0.698
5 Pr 0.151 0.151 0.302
6 Sn 0.071 0.571 0.143
7 Sn 0.571 0.071 0.143
8 Sn 0.929 0.429 0.857
9 Sn 0.429 0.929 0.857
10 Sn 0.709 0.709 0.418
11 Sn 0.291 0.291 0.582

8.
Compound: Cr2SiP
Source: Alexandria via LeMat-Bulk
Functional: PBE
Structure: optimized geometry

Summary:
**Total magnetic moment**: 1.240 μB/cell
**E above lowest polymorph**: 114 kJ/mol of formula units
**Energy relative to the elements, uncorrected**: -0.1 eV/f.u.

Lattice parameters (Å, degrees): 4.460 4.460 4.460 139.29 120.70 74.42
Each line ends with the local moment (μB).
Element x y z (fractional)
1 Cr 0.975 0.975 0.000  0.63
2 Cr 0.525 0.525 0.000  0.63
3 P 0.750 0.250 0.500  -0.03
4 Si 0.250 0.750 0.500  -0.03

9.
Compound: Zr6Zn5Fe
Source: Alexandria via LeMat-Bulk
Functional: PBE
Structure: optimized geometry

Summary:
**Formation enthalpy at 0 K**: -241.2 meV/atom
**Total magnetic moment**: 0.301 μB/cell

Lattice parameters (Å, degrees): 4.701 6.630 8.118 65.90 73.20 90.00
Each line ends with the local moment (μB).
Element x y z (fractional)
1 Zn 0.674 0.174 0.652  -0.01
2 Zn 0.333 0.333 0.335  0.00
3 Zn 0.000 0.500 0.000  -0.01
4 Zn 0.667 0.667 0.665  0.00
5 Zn 0.326 0.826 0.348  -0.01
6 Fe 0.000 0.000 0.000  0.93
7 Zr 0.839 0.595 0.323  -0.05
8 Zr 0.839 0.082 0.323  -0.05
9 Zr 0.500 0.759 0.000  -0.09
10 Zr 0.500 0.241 0.000  -0.09
11 Zr 0.161 0.918 0.677  -0.05
12 Zr 0.161 0.405 0.677  -0.05

10.
Compound: Tb2PmHg8
Source: Alexandria via LeMat-Bulk
Functional: PBE
Structure: optimized geometry

Summary:
**Formation enthalpy at 0 K**: -332.6 meV/atom
**Total magnetic moment**: 0.000 μB/cell
**E above lowest polymorph**: 0 kJ/mol of formula units

Lattice parameters (Å, degrees): 4.979 7.284 8.422 108.67 107.19 90.00
Element x y z (fractional)
1 Tb 0.787 0.347 0.574
2 Tb 0.213 0.653 0.426
3 Pm 0.500 0.000 0.000
4 Hg 0.403 0.540 0.806
5 Hg 0.675 0.904 0.350
6 Hg 0.849 0.814 0.699
7 Hg 0.972 0.271 0.943
8 Hg 0.151 0.186 0.301
9 Hg 0.325 0.096 0.650
10 Hg 0.597 0.460 0.194
11 Hg 0.028 0.729 0.057

11.
Compound: Mg6Cd2Rh
Source: Alexandria via LeMat-Bulk
Functional: PBE
Structure: optimized geometry

Summary:
**Formation enthalpy at 0 K**: -97.6 meV/atom
**Total magnetic moment**: 0.000 μB/cell
**E above lowest polymorph**: 104 kJ/mol of formula units

Lattice parameters (Å, degrees): 3.247 7.999 8.560 117.86 99.44 90.00
Element x y z (fractional)
1 Mg 0.150 0.343 0.323
2 Mg 0.850 0.020 0.677
3 Mg 0.850 0.657 0.677
4 Mg 0.500 0.274 0.000
5 Mg 0.150 0.980 0.323
6 Mg 0.500 0.726 0.000
7 Cd 0.648 0.663 0.326
8 Cd 0.352 0.337 0.674
9 Rh 0.000 0.000 0.000

12.
Compound: TcGe
Source: Alexandria via LeMat-Bulk
Functional: PBE
Structure: optimized geometry

Summary:
**Formation enthalpy at 0 K**: -142.3 meV/atom
**Total magnetic moment**: 0.000 μB/cell
**E above lowest polymorph**: 8 kJ/mol of formula units

Lattice parameters (Å, degrees): 3.355 4.683 3.265 69.60 90.00 44.25
Element x y z (fractional)
1 Ge 0.096 0.770 0.738
2 Tc 0.930 0.436 0.405